6
Lattice="3.813 0.000 -0.047 0.000 5.416 0.000 -1.846 0.000 4.970" Properties=species:S:1:pos:R:3 comment="PBE-GGA TmHS, relaxed" magnetic_moment_mub_per_cell=0.00 e_tot_ev_per_atom=-5.298 sg="Cmcm, No. 63" pbc="T T T"
H 1.915 1.354 0.646
Tm 0.017 1.354 1.413
S 0.018 4.062 1.458
Tm 1.949 4.062 3.509
H 0.052 4.062 4.277
S 1.949 1.354 3.464